Record 1
A crystal of AgTe2Br relaxed with PBEsol, computed with SCAN.

The structure in POSCAR format:
```
AgTe2Br
1.0
-1.932 -2.461 0.605
1.120 -2.571 1.514
-3.185 3.156 11.067
Te Br Ag
2 1 1
direct
0.925 0.925 0.225 Te
0.075 0.075 0.775 Te
0.500 0.500 0.500 Br
0.000 0.000 0.000 Ag
```

Output
space-group type = R-3m
total energy = -2.2899 Ry per atom
raw formation energy = 0.1764 eV/atom
volume = 25.94 Å³/atom

---

Record 2
A crystal of CaInAu2 relaxed with PBEsol, computed with SCAN.

The structure in POSCAR format:
```
CaInAu2
1.0
3.685 0.000 0.000
0.000 3.685 0.000
0.000 0.000 6.301
Au Ca In
2 1 1
direct
0.500 0.500 0.243 Au
0.000 0.000 0.986 Au
0.000 0.000 0.473 Ca
0.500 0.500 0.799 In
```

Output
ΔH_f (0 K) = -13.1 kcal/mol of atoms
space-group type = P4mm
total energy = -3.3742 Ry per atom
volume = 21.39 Å³/atom

---

Record 3
A crystal of LiSb2W relaxed with PBEsol, computed with SCAN.

The structure in POSCAR format:
```
LiSb2W
1.0
-1.710 2.660 1.173
-3.730 -1.626 -1.752
-0.072 -3.814 3.694
Sb W Li
2 1 1
direct
0.025 0.000 0.049 Sb
0.736 0.500 0.471 Sb
0.449 0.500 0.899 W
0.290 0.000 0.580 Li
```

Output
space-group type = Amm2
total energy = -2.6733 Ry per atom
raw formation energy = 0.2777 eV/atom
volume = 18.81 Å³/atom

---

Record 4
A crystal of YScCr relaxed with PBEsol, computed with SCAN.

The structure in POSCAR format:
```
YScCr
1.0
-1.495 1.791 -2.372
-1.030 -2.802 -1.467
-3.659 0.639 5.122
Cr Sc Y
1 1 1
direct
0.009 0.009 0.017 Cr
0.634 0.634 0.268 Sc
0.357 0.357 0.715 Y
```

Output
ΔH_f (0 K) = 3.8 kcal/mol of atoms
space-group type = I4mm
total energy = -1.4693 Ry per atom
volume = 21.67 Å³/atom

---

Record 5
A crystal of RbLaSiC4N8 relaxed with PBEsol, computed with SCAN.

The structure in POSCAR format:
```
RbLaSiC4N8
1.0
-2.389 0.010 6.380
-6.841 -0.265 1.076
-0.945 -6.024 3.293
C N Rb Si La
4 8 1 1 1
direct
0.322 0.085 0.532 C
0.145 0.532 0.915 C
0.593 0.468 0.085 C
0.940 0.915 0.468 C
0.314 0.477 0.717 N
0.968 0.717 0.523 N
0.675 0.420 0.898 N
0.209 0.283 0.477 N
0.906 0.102 0.420 N
0.992 0.580 0.102 N
0.509 0.523 0.283 N
0.428 0.898 0.580 N
0.500 0.000 0.000 Rb
0.250 0.500 0.500 Si
0.750 0.500 0.500 La
```

Output
space-group type = I-4
total energy = -0.9715 Ry per atom
raw formation energy = -0.6454 eV/atom
volume = 16.54 Å³/atom

---

Record 6
A crystal of ZnIr2Pb relaxed with PBEsol, computed with SCAN.

The structure in POSCAR format:
```
ZnIr2Pb
1.0
2.941 0.000 0.001
0.000 4.207 0.000
-1.214 0.000 5.309
Ir Pb Zn
2 1 1
direct
0.168 0.000 0.281 Ir
0.832 0.000 0.719 Ir
0.500 0.500 0.000 Pb
0.000 0.500 0.500 Zn
```

Output
ΔH_f (0 K) = 9.4 kcal/mol of atoms
space-group type = P2/m
total energy = -4.2238 Ry per atom
volume = 16.42 Å³/atom

---

Record 7
A crystal of RbRu2Cl relaxed with PBEsol, computed with SCAN.

The structure in POSCAR format:
```
RbRu2Cl
1.0
-2.631 -3.678 1.241
1.772 -3.307 2.813
-1.541 -0.398 4.411
Rb Ru Cl
1 2 1
direct
0.500 0.500 0.500 Rb
0.750 0.750 0.750 Ru
0.250 0.250 0.250 Ru
0.000 0.000 0.000 Cl
```

Output
space-group type = Fm-3m
total energy = -1.6762 Ry per atom
raw formation energy = 1.7861 eV/atom
volume = 18.22 Å³/atom

---

Record 8
A crystal of TbAgTe2 relaxed with PBEsol, computed with SCAN.

The structure in POSCAR format:
```
TbAgTe2
1.0
-3.728 -0.661 2.807
4.228 -0.891 5.405
-0.228 6.793 1.298
Ag Te Tb
2 4 2
direct
0.000 0.500 0.500 Ag
0.000 0.000 0.000 Ag
0.302 0.203 0.297 Te
0.698 0.703 0.203 Te
0.302 0.797 0.703 Te
0.698 0.297 0.797 Te
0.823 0.000 0.500 Tb
0.177 0.500 0.000 Tb
```

Output
space-group type = P-42_1m
total energy = -2.8781 Ry per atom
raw formation energy = -1.0004 eV/atom
volume = 28.21 Å³/atom

---

Record 9
A crystal of ScReOs2 relaxed with PBEsol, computed with SCAN.

The structure in POSCAR format:
```
ScReOs2
1.0
2.979 0.000 0.000
0.000 4.537 0.000
-1.490 -2.269 4.485
Sc Os Re
1 2 1
direct
0.000 0.500 0.000 Sc
0.761 0.761 0.522 Os
0.239 0.239 0.478 Os
0.500 0.000 0.000 Re
```

Output
ΔH_f (0 K) = 1.2 kcal/mol of atoms
space-group type = Immm
total energy = -4.2058 Ry per atom
volume = 15.16 Å³/atom

---

Record 10
A crystal of CoOsAu2 relaxed with PBEsol, computed with SCAN.

The structure in POSCAR format:
```
CoOsAu2
1.0
4.371 0.000 0.000
2.186 3.785 0.000
2.186 1.262 3.569
Au Co Os
2 1 1
direct
0.750 0.750 0.750 Au
0.250 0.250 0.250 Au
0.000 0.000 0.000 Co
0.500 0.500 0.500 Os
```

Output
ΔH_f (0 K) = 16.6 kcal/mol of atoms
space-group type = Fm-3m
total energy = -4.1274 Ry per atom
volume = 14.76 Å³/atom

---

Record 11
A crystal of SrCr2BCl relaxed with PBEsol, computed with SCAN.

The structure in POSCAR format:
```
SrCr2BCl
1.0
-3.800 1.621 2.215
-3.151 -0.850 -4.785
-1.253 -5.368 1.779
Cr B Sr Cl
2 1 1 1
direct
0.000 0.000 0.500 Cr
0.000 0.500 0.000 Cr
0.500 0.000 0.000 B
0.000 0.000 0.000 Sr
0.500 0.500 0.500 Cl
```

Output
space-group type = P4/mmm
total energy = -0.9590 Ry per atom
raw formation energy = 1.8431 eV/atom
volume = 31.46 Å³/atom

---

Record 12
A crystal of InAs2RuBr relaxed with PBEsol, computed with SCAN.

The structure in POSCAR format:
```
InAs2RuBr
1.0
4.681 0.000 0.000
0.000 4.681 0.000
0.000 0.000 5.421
As Br In Ru
2 1 1 1
direct
0.500 0.000 0.000 As
0.000 0.500 0.000 As
0.000 0.000 0.500 Br
0.500 0.500 0.500 In
0.000 0.000 0.000 Ru
```

Output
space-group type = P4/mmm
total energy = -1.8665 Ry per atom
raw formation energy = 0.2160 eV/atom
volume = 23.76 Å³/atom